# 1
Here is a geometry-optimized MoCI2N structure from the Alexandria database. Energies are from GGA-PBEsol.

Values from the calculation:
Raw formation energy: 1.537 eV per atom

Lattice parameters (Å, degrees): 3.760 5.400 5.400 90.00 90.00 90.00
Each line ends with the local moment (μB).
Atoms (fractional coordinates):
I 0.000 0.000 0.500  -0.04
Mo 0.000 0.000 0.000  0.27
N 0.500 0.000 0.000  -0.02
C 0.500 0.500 0.500  0.83
I 0.000 0.500 0.000  -0.04


# 2
Here is a geometry-optimized FeSb2Ir structure from the Alexandria database. Energies are from GGA-PBEsol.

Values from the calculation:
Raw formation energy: 0.287 eV per atom

Lattice parameters (Å, degrees): 3.233 3.232 6.452 90.00 90.00 90.00
Each line ends with the local moment (μB).
Atoms (fractional coordinates):
Sb 0.000 0.000 0.240  -0.01
Fe 0.500 0.500 0.000  1.80
Ir 0.500 0.500 0.500  0.18
Sb 0.000 0.000 0.760  -0.01


# 3
Here is a geometry-optimized CaInTe2 structure from the Alexandria database. Energies are from GGA-PBEsol.

Values from the calculation:
Raw formation energy: -0.938 eV per atom

Lattice parameters (Å, degrees): 4.391 4.391 6.310 90.00 90.00 90.00
Atoms (fractional coordinates):
Te 0.500 0.500 0.375
In 0.500 0.500 0.877
Ca 0.000 0.000 0.374
Te 0.000 0.000 0.874


# 4
Here is a geometry-optimized Ba8In8O19 structure from the Alexandria database. Energies are from GGA-PBEsol.

Values from the calculation:
Raw formation energy: -2.036 eV per atom

Lattice parameters (Å, degrees): 8.495 8.621 9.335 117.50 90.87 88.12
Atoms (fractional coordinates):
In 0.999 0.504 0.504
O 0.408 0.998 0.000
Ba 0.754 0.871 0.710
O 0.993 0.742 0.481
O 0.024 0.666 0.780
In 0.459 0.233 0.000
O 0.249 0.363 0.000
O 0.982 0.094 0.774
O 0.882 0.501 0.000
O 0.248 0.499 0.485
Ba 0.240 0.855 0.725
O 0.482 0.824 0.224
O 0.482 0.600 0.776
O 0.541 0.153 0.771
Ba 0.738 0.353 0.720
Ba 0.240 0.130 0.275
O 0.493 0.242 0.482
Ba 0.253 0.374 0.722
In 0.911 0.743 0.000
Ba 0.738 0.633 0.280
O 0.748 0.996 0.484
O 0.248 0.014 0.515
In 0.497 0.999 0.495
In 0.016 0.295 0.000
In 0.497 0.503 0.505
In 0.556 0.796 0.000
O 0.982 0.320 0.226
O 0.493 0.760 0.518
Ba 0.253 0.652 0.278
In 0.999 0.000 0.496
O 0.024 0.886 0.220
O 0.541 0.382 0.229
Ba 0.754 0.161 0.290
O 0.993 0.261 0.519
O 0.748 0.512 0.516


# 5
Here is a geometry-optimized NbGeSbTe2 structure from the Alexandria database. Energies are from GGA-PBEsol.

Values from the calculation:
Raw formation energy: 0.535 eV per atom

Lattice parameters (Å, degrees): 5.302 5.302 5.364 90.00 90.00 90.00
Each line ends with the local moment (μB).
Atoms (fractional coordinates):
Te 0.000 0.500 0.000  -0.03
Sb 0.000 0.000 0.500  -0.04
Nb 0.000 0.000 0.000  0.22
Te 0.500 0.000 0.000  -0.03
Ge 0.500 0.500 0.500  0.24


# 6
Here is a geometry-optimized Mg2Ta2MnO8 structure from the Alexandria database. Energies are from GGA-PBEsol.

Values from the calculation:
Raw formation energy: -2.603 eV per atom

Lattice parameters (Å, degrees): 5.165 5.964 9.977 107.39 90.44 90.00
Each line ends with the local moment (μB).
Atoms (fractional coordinates):
Mn 0.750 0.653 0.000  4.38
Mn 0.250 0.347 0.000  4.38
O 0.379 0.837 0.383  0.00
O 0.423 0.039 0.857  0.01
Mg 0.745 0.870 0.455  0.00
O 0.588 0.433 0.119  0.03
O 0.953 0.085 0.373  0.01
O 0.923 0.818 0.857  0.01
Mg 0.255 0.130 0.545  0.00
O 0.453 0.288 0.373  0.01
O 0.879 0.546 0.383  0.00
O 0.547 0.712 0.627  0.01
O 0.412 0.567 0.881  0.03
O 0.912 0.314 0.881  0.03
O 0.121 0.454 0.617  0.00
Ta 0.757 0.046 0.766  0.10
O 0.047 0.915 0.627  0.01
O 0.577 0.961 0.143  0.01
O 0.077 0.182 0.143  0.01
O 0.621 0.163 0.617  0.00
Mg 0.245 0.585 0.455  0.00
Ta 0.257 0.721 0.766  0.10
Ta 0.243 0.954 0.234  0.10
O 0.088 0.686 0.119  0.03
Ta 0.743 0.279 0.234  0.10
Mg 0.755 0.415 0.545  0.00


# 7
Here is a geometry-optimized CoSb2Pt structure from the Alexandria database. Energies are from GGA-PBEsol.

Values from the calculation:
Raw formation energy: 0.142 eV per atom

Lattice parameters (Å, degrees): 3.324 4.612 4.612 90.00 89.94 89.94
Each line ends with the local moment (μB).
Atoms (fractional coordinates):
Sb 0.000 0.500 0.000  0.00
Pt 0.500 0.500 0.500  0.01
Co 0.500 0.000 0.000  0.78
Sb 0.000 0.000 0.500  0.00


# 8
Here is a geometry-optimized Na2PdC2 structure from the Alexandria database. Energies are from GGA-PBEsol.

Values from the calculation:
ΔE_f: 0.0932 eV per atom

Lattice parameters (Å, degrees): 4.458 4.458 5.214 90.00 90.00 120.00
Atoms (fractional coordinates):
Na 0.667 0.333 0.720
C 0.000 0.000 0.622
C 0.000 0.000 0.378
Pd 0.000 0.000 0.000
Na 0.333 0.667 0.280


Total energy values (in hartree per atom) by entry order: -0.1895 -0.2458 -0.1463 -0.2226 -0.1815 -0.3226 -0.2136 -0.2027.